No. 1
A plane-wave DFT calculation with PBE was carried out for a relaxed BeIrPt2 crystal.

Energy of formation (eV per atom): -0.098
Spin magnetization (μB/atom): 0.000
Space group: I-4m2, No. 119

Geometry as POSCAR:
```
BeIrPt2
1.0
4.632 -0.002 0.000
1.402 4.415 0.000
-3.017 -2.207 2.736
Be Ir Pt
1 1 2
direct
0.500 0.500 0.000
0.750 0.250 0.500
0.000 0.000 0.000
0.250 0.750 0.500
```

No. 2
A plane-wave DFT calculation with PBE was carried out for a relaxed BeIr2Pt crystal.

Energy of formation (eV per atom): -0.011
Spin magnetization (μB/atom): 0.000
Space group: Cmmm, No. 65

Geometry as POSCAR:
```
BeIr2Pt
1.0
-1.469 0.674 -2.177
2.184 -1.574 -0.323
-4.842 -6.949 1.115
Be Ir Pt
1 2 1
direct
0.500 0.500 0.750
0.000 0.000 0.965
0.000 0.000 0.535
0.500 0.500 0.250
```

No. 3
A plane-wave DFT calculation with PBE was carried out for a relaxed BeIr2Pt crystal.

Energy of formation (eV per atom): -0.055
Spin magnetization (μB/atom): 0.000
Space group: I4/mmm, No. 139

Geometry as POSCAR:
```
BeIr2Pt
1.0
-3.922 -0.456 2.366
0.765 -2.975 3.428
2.314 3.767 -1.281
Be Ir Pt
1 2 1
direct
0.750 0.250 0.500
0.000 0.000 0.000
0.500 0.500 0.000
0.250 0.750 0.500
```

No. 4
A plane-wave DFT calculation with PBE was carried out for a relaxed BeIrPt2 crystal.

Energy of formation (eV per atom): -0.311
Spin magnetization (μB/atom): 0.000
Space group: P4mm, No. 99

Geometry as POSCAR:
```
BeIrPt2
1.0
2.773 0.000 0.000
0.000 2.773 0.000
0.000 0.000 6.964
Be Ir Pt
1 1 2
direct
0.000 0.000 0.506
0.500 0.500 0.703
0.000 0.000 0.993
0.500 0.500 0.298
```

No. 5
A plane-wave DFT calculation with PBE was carried out for a relaxed BeIrPt2 crystal.

Energy of formation (eV per atom): -0.142
Spin magnetization (μB/atom): 0.000
Space group: Cmm2, No. 35

Geometry as POSCAR:
```
BeIrPt2
1.0
2.718 0.001 0.000
-1.329 2.371 0.000
0.000 0.000 8.698
Be Ir Pt
1 1 2
direct
0.000 0.000 0.503
0.500 0.500 0.713
0.000 0.000 0.996
0.500 0.500 0.288
```

No. 6
A plane-wave DFT calculation with PBE was carried out for a relaxed BeIr2Pt crystal.

Energy of formation (eV per atom): 0.054
Spin magnetization (μB/atom): 0.000
Space group: C2/m, No. 12

Geometry as POSCAR:
```
BeIr2Pt
1.0
-4.180 1.259 1.199
2.540 -3.030 3.532
1.021 1.756 1.801
Be Ir Pt
1 2 1
direct
0.500 0.500 0.000
0.000 0.000 0.000
0.500 0.000 0.500
0.000 0.500 0.500
```

No. 7
A plane-wave DFT calculation with PBE was carried out for a relaxed BeIrPt2 crystal.

Energy of formation (eV per atom): -0.185
Spin magnetization (μB/atom): 0.000
Space group: Pm, No. 6

Geometry as POSCAR:
```
BeIrPt2
1.0
-1.999 -3.152 0.453
1.091 -1.024 -2.313
4.570 -2.658 1.671
Be Ir Pt
1 1 2
direct
0.000 0.294 0.545
0.500 0.711 0.700
0.000 0.069 0.983
0.500 0.426 0.271
```

No. 8
A plane-wave DFT calculation with PBE was carried out for a relaxed BeIrPt2 crystal.

Energy of formation (eV per atom): -0.253
Spin magnetization (μB/atom): 0.000
Space group: Imm2, No. 44

Geometry as POSCAR:
```
BeIrPt2
1.0
-3.247 2.469 3.314
-4.835 0.653 1.955
-0.701 -2.118 3.650
Be Ir Pt
1 1 2
direct
0.502 0.502 0.499
0.204 0.204 0.296
0.999 0.999 0.001
0.796 0.796 0.704
```

No. 9
A plane-wave DFT calculation with PBE was carried out for a relaxed BeIr2Pt crystal.

Energy of formation (eV per atom): 0.040
Spin magnetization (μB/atom): 0.000
Space group: P2/m, No. 10

Geometry as POSCAR:
```
BeIr2Pt
1.0
4.583 0.000 0.000
0.000 2.723 -0.005
0.000 -0.039 4.521
Be Ir Pt
1 2 1
direct
0.500 0.750 0.750
0.000 0.994 0.993
0.000 0.506 0.507
0.500 0.250 0.250
```

No. 10
A plane-wave DFT calculation with PBE was carried out for a relaxed BeIrPt2 crystal.

Energy of formation (eV per atom): -0.114
Spin magnetization (μB/atom): 0.000
Space group: Fmmm, No. 69

Geometry as POSCAR:
```
BeIrPt2
1.0
4.684 -0.006 -0.002
1.557 4.418 -0.002
-3.121 -2.207 2.704
Be Ir Pt
1 1 2
direct
0.250 0.750 0.500
0.750 0.250 0.500
0.000 0.000 0.000
0.500 0.500 0.000
```

No. 11
A plane-wave DFT calculation with PBE was carried out for a relaxed Be5IrPt4 crystal.

Energy of formation (eV per atom): -0.761
Spin magnetization (μB/atom): 0.000
Space group: P4/mmm, No. 123

Geometry as POSCAR:
```
Be5IrPt4
1.0
2.843 0.000 0.000
0.000 2.843 0.000
0.000 0.000 14.146
Be Ir Pt
5 1 4
direct
0.500 0.500 0.089
0.500 0.500 0.296
0.500 0.500 0.500
0.500 0.500 0.704
0.500 0.500 0.911
0.000 0.000 0.000
0.000 0.000 0.200
0.000 0.000 0.400
0.000 0.000 0.600
0.000 0.000 0.800
```

No. 12
A plane-wave DFT calculation with PBE was carried out for a relaxed BeIrPt2 crystal.

Energy of formation (eV per atom): -0.283
Spin magnetization (μB/atom): 0.131
Space group: P4/mmm, No. 123

Geometry as POSCAR:
```
BeIrPt2
1.0
2.762 0.000 0.000
0.000 2.762 0.000
0.000 0.000 7.026
Be Ir Pt
1 1 2
direct
0.500 0.500 0.250
0.500 0.500 0.750
0.000 0.000 0.043
0.000 0.000 0.457
```